## NdSm4Sb5 (PBE-GGA)

Data for a relaxed NdSm4Sb5 crystal.

a b c (Å): 4.485 6.334 22.394
angles (deg): 90.00 90.00 90.00
Space group Immm (No. 71)
Inequivalent atoms, fractional coordinates:
Nd (0.000, 0.000, 0.000) x2
Sm (0.000, 0.000, 0.201) x4
Sm (0.000, 0.000, 0.400) x4
Sb (0.000, 0.500, 0.000) x2
Sb (0.000, 0.500, 0.200) x4
Sb (0.000, 0.500, 0.399) x4

V: 31.8 Å³ per atom
Magnetic moment: 0.00 μB per cell
Density: 7.1 g/cm³
Formation energy without anion corrections: -1180 meV/atom
VASP energy: -112.108 eV per cell